[1]
First-principles (GGA-PBE) data for a relaxed NdSmGaSi crystal, as listed in Alexandria.

Computed properties:
* formation energy without anion corrections: -709.0 meV per atom
* mass density: 6.5 g/cm³
* SG: Amm2 (38)

Unit cell a=4.4293 b=4.0472 c=5.9784 alpha=90.00 beta=111.74 gamma=90.00
Atoms (fractional coordinates):
1 Ga 0.4277 0.0000 0.8554
2 Si 0.5715 0.5000 0.1429
3 Sm 0.8593 0.5000 0.7186
4 Nd 0.1415 0.0000 0.2830


[2]
First-principles (GGA-PBE) data for a relaxed Tb2ErMg3 crystal, as listed in Alexandria.

Computed properties:
* mass density: 5.7 g/cm³
* formation enthalpy at 0 K: -0.079 eV per atom
* SG: P4/mmm (123)

Unit cell a=3.7877 b=3.7877 c=11.3519 alpha=90.00 beta=90.00 gamma=90.00
Atoms (fractional coordinates):
1 Er 0.5000 0.5000 0.5000
2 Mg 0.0000 0.0000 0.3360
3 Mg 0.0000 0.0000 0.6640
4 Mg 0.0000 0.0000 0.0000
5 Tb 0.5000 0.5000 0.8322
6 Tb 0.5000 0.5000 0.1678


[3]
First-principles (GGA-PBE) data for a relaxed PmMg5Ir2 crystal, as listed in Alexandria.

Computed properties:
* mass density: 6.4 g/cm³
* formation enthalpy at 0 K: -0.365 eV per atom
* SG: Immm (71)

Unit cell a=4.2059 b=6.7227 c=6.7227 alpha=76.19 beta=71.77 gamma=71.77
Atoms (fractional coordinates):
1 Mg 0.6698 0.1487 0.5118
2 Mg 0.3302 0.4882 0.8513
3 Mg 0.6698 0.5118 0.1487
4 Mg 0.0000 0.5000 0.5000
5 Mg 0.3302 0.8513 0.4882
6 Ir 0.2711 0.2289 0.2289
7 Ir 0.7289 0.7711 0.7711
8 Pm 0.0000 0.0000 0.0000


[4]
First-principles (GGA-PBE) data for a relaxed CaH5Pd4 crystal, as listed in Alexandria.

Computed properties:
* calculated total energy: -82.78 eV/cell
* mass density: 7.0 g/cm³
* SG: Pmmn (59)

Unit cell a=5.1471 b=5.5816 c=7.7692 alpha=90.00 beta=90.00 gamma=90.00
Atoms (fractional coordinates):
1 H 0.1230 0.2647 0.8353
2 H 0.1230 0.7353 0.8353
3 H 0.1230 0.2647 0.1647
4 H 0.8770 0.7647 0.3353
5 H 0.1230 0.7353 0.1647
6 H 0.6201 0.5000 0.0000
7 H 0.3799 0.0000 0.5000
8 H 0.8770 0.2353 0.3353
9 H 0.8770 0.2353 0.6647
10 H 0.8770 0.7647 0.6647
11 Pd 0.1559 0.0000 0.6889
12 Pd 0.6501 0.7647 0.5000
13 Pd 0.8441 0.5000 0.1889
14 Pd 0.8441 0.5000 0.8111
15 Pd 0.3499 0.7353 0.0000
16 Pd 0.6501 0.2353 0.5000
17 Pd 0.1559 0.0000 0.3111
18 Pd 0.3499 0.2647 0.0000
19 Ca 0.1870 0.5000 0.5000
20 Ca 0.8130 0.0000 0.0000


[5]
First-principles (GGA-PBE) data for a relaxed ScTiCo2 crystal, as listed in Alexandria.

Computed properties:
* mass density: 5.8 g/cm³
* formation enthalpy at 0 K: 0.045 eV per atom
* SG: I-42d (122)

Unit cell a=6.5713 b=6.5713 c=5.4128 alpha=52.63 beta=52.63 gamma=90.00
Atoms (fractional coordinates):
1 Sc 0.2500 0.7500 0.5000
2 Sc 0.5000 0.5000 0.0000
3 Co 0.6491 0.1250 0.2500
4 Co 0.3750 0.3509 0.7500
5 Co 0.1009 0.6250 0.2500
6 Co 0.8750 0.8991 0.7500
7 Ti 0.7500 0.2500 0.5000
8 Ti 0.0000 0.0000 0.0000


[6]
First-principles (GGA-PBE) data for a relaxed CrNi2H crystal, as listed in Alexandria.

Computed properties:
* calculated total energy: -24.40 eV/cell
* mass density: 8.0 g/cm³
* SG: R-3m (166)

Unit cell a=2.5342 b=2.5342 c=6.4983 alpha=78.76 beta=78.76 gamma=60.00
Atoms (fractional coordinates):
1 Ni 0.7260 0.7260 0.8219
2 Ni 0.2740 0.2740 0.1781
3 Cr 0.5000 0.5000 0.5000
4 H 0.0000 0.0000 0.0000


[7]
First-principles (GGA-PBE) data for a relaxed Sc4HNO2 crystal, as listed in Alexandria.

Computed properties:
* calculated total energy: -63.36 eV/cell
* mass density: 4.1 g/cm³
* SG: P2/m (10)

Unit cell a=3.2080 b=5.4984 c=5.4391 alpha=71.94 beta=90.00 gamma=90.00
Atoms (fractional coordinates):
1 Sc 0.0000 0.7612 0.7358
2 Sc 0.5000 0.2610 0.7429
3 Sc 0.0000 0.2389 0.2642
4 Sc 0.5000 0.7390 0.2571
5 O 0.0000 0.0000 0.0000
6 O 0.5000 0.0000 0.5000
7 N 0.0000 0.5000 0.5000
8 H 0.5000 0.5000 0.0000


Q: Among the records above, which one has the highest mass density?
A: CrNi2H


Q: Number 5 is which compound?
A: ScTiCo2


Q: mass density of number 6 (CrNi2H)?
A: 8.0 g/cm³


Q: The highest mass density belongs to which entry?
A: CrNi2H